First-principles (meta-GGA SCAN) data for a crystal of CrCdMo2 relaxed with PBEsol, as listed in Alexandria via LeMat-Bulk.

Summary:
The total moment is 0.0 μB/f.u. For the energy, the calculation gives -116.3 eV per formula unit. For the energy of formation, the calculation gives 0.568 eV per atom.

CIF file:
```
data_CrCdMo2
_chemical_formula_sum 'Cr2 Cd2 Mo4'
_space_group_name_H-M_alt 'C m m m'
_space_group_IT_number 65
_space_group_name_Hall '-C 2 2'
_cell_length_a 5.4345
_cell_length_b 8.4998
_cell_length_c 2.6192
_cell_angle_alpha 90.00
_cell_angle_beta 90.00
_cell_angle_gamma 90.00
loop_
_atom_site_label
_atom_site_type_symbol
_atom_site_fract_x
_atom_site_fract_y
_atom_site_fract_z
Cr1 Cr 0.0000 0.0000 0.0000
Cd1 Cd 0.0000 0.5000 0.0000
Mo1 Mo 0.2500 0.2500 0.5000
```